(1)
CoRh2W | the Alexandria database | PBE | optimized geometry; ΔH_f (0 K) = -141 meV/atom; energy above the lowest structure with this stoichiometry = 0 meV/atom
1.0
-3.814 1.895 -1.850
-3.524 -2.990 0.446
3.049 1.635 3.095
Co W Rh
1 1 2
direct
0.250 0.750 0.500
0.750 0.250 0.500
0.000 0.000 0.000
0.500 0.500 0.000

(2)
Sr2YZr | the Alexandria database | PBE | optimized geometry; ΔH_f (0 K) = 466 meV/atom; energy above the lowest structure with this stoichiometry = 214 meV/atom
1.0
-2.153 7.665 -9.789
-1.671 4.583 -11.637
-4.936 5.394 -10.284
Sr Zr Y
2 1 1
direct
0.006 0.006 0.006
0.494 0.494 0.494
0.750 0.750 0.750
0.250 0.250 0.250

(3)
FeSn3Br | the Alexandria database | PBE | optimized geometry; E_form (uncorrected) = -0.12 eV/atom; energy above the lowest structure with this stoichiometry = 0 meV/atom
1.0
-0.162 -4.411 -2.281
3.104 -1.871 3.398
-3.875 -1.314 2.817
Fe Sn Br
1 3 1
direct
0.000 0.000 0.000
0.500 0.000 0.000
0.000 0.500 0.000
0.000 0.000 0.500
0.500 0.500 0.500

(4)
CrTc2SnC | the Alexandria database | PBE | optimized geometry; ΔH_f (0 K) = 70 meV/atom
1.0
4.166 0.000 0.000
0.000 4.166 0.000
0.000 0.000 3.982
C Cr Sn Tc
1 1 1 2
direct
0.000 0.000 0.000
0.000 0.000 0.500
0.500 0.500 0.500
0.500 0.000 0.000
0.000 0.500 0.000

(5)
FeCo | the Alexandria database | PBE | optimized geometry; ΔH_f (0 K) = -58 meV/atom
1.0
-0.433 2.813 -0.058
-0.225 -0.093 -2.836
-2.805 -0.426 0.236
Co Fe
1 1
direct
0.000 0.000 0.000
0.500 0.500 0.500

(6)
Ta2ZnBr | the Alexandria database | PBE | optimized geometry; E_form (uncorrected) = 0.42 eV/atom; energy above the lowest structure with this stoichiometry = 255 meV/atom
1.0
4.765 0.000 0.000
0.000 2.975 0.009
0.000 1.463 5.119
Br Ta Zn
1 2 1
direct
0.500 0.922 0.780
0.500 0.190 0.245
0.000 0.824 0.980
0.000 0.564 0.495

(7)
AlNi2MoRu | the Alexandria database | PBE | optimized geometry; ΔH_f (0 K) = 1273 meV/atom
1.0
4.476 0.000 0.000
0.000 4.617 0.000
0.000 0.000 4.476
Ru Ni Al Mo
1 2 1 1
direct
0.000 0.500 0.000
0.500 0.000 0.000
0.000 0.000 0.500
0.500 0.500 0.500
0.000 0.000 0.000

(8)
Y2MnS4 | the Alexandria database | PBE | optimized geometry; E_form (uncorrected) = -1.64 eV/atom; energy above the lowest structure with this stoichiometry = 0 meV/atom
1.0
-2.640 0.854 -7.341
7.675 0.655 1.511
-2.779 -13.300 -0.548
S Y Mn
16 8 4
direct
0.118 0.247 0.876
0.374 0.247 0.621
0.871 0.242 0.624
0.129 0.758 0.376
0.882 0.753 0.124
0.871 0.753 0.624
0.129 0.247 0.376
0.371 0.242 0.124
0.382 0.753 0.624
0.626 0.753 0.379
0.618 0.247 0.376
0.126 0.753 0.879
0.874 0.247 0.121
0.629 0.758 0.876
0.629 0.247 0.876
0.371 0.753 0.124
0.250 0.000 0.250
0.000 0.000 0.000
0.750 0.000 0.750
0.500 0.000 0.500
0.500 0.500 0.500
0.000 0.500 0.000
0.500 0.000 0.000
0.000 0.000 0.500
0.437 0.375 0.813
0.938 0.375 0.313
0.563 0.625 0.187
0.062 0.625 0.687

(9)
TcBiRh | the Alexandria database | PBE | optimized geometry; ΔH_f (0 K) = 524 meV/atom; energy above the lowest structure with this stoichiometry = 149 meV/atom
1.0
3.114 0.000 0.000
-1.557 2.696 0.000
0.000 0.000 13.136
Tc Rh Bi
2 2 2
direct
0.778 0.555 0.649
0.778 0.555 0.351
0.445 0.889 0.000
0.444 0.889 0.500
0.111 0.222 0.829
0.111 0.222 0.171

(10)
Ho3Ag4Pd2 | the Alexandria database | PBE | optimized geometry; ΔH_f (0 K) = -450 meV/atom
1.0
-1.339 3.636 3.561
-3.801 -5.243 5.755
5.938 -1.910 6.013
Ho Ag Pd
6 8 4
direct
0.250 0.387 0.613
0.924 0.036 0.300
0.424 0.300 0.036
0.750 0.613 0.387
0.576 0.700 0.964
0.076 0.964 0.700
0.473 0.927 0.184
0.625 0.838 0.602
0.027 0.816 0.073
0.973 0.184 0.927
0.527 0.073 0.816
0.875 0.398 0.162
0.375 0.162 0.398
0.125 0.602 0.838
0.316 0.518 0.259
0.816 0.259 0.518
0.684 0.482 0.741
0.184 0.741 0.482

(11)
Ce3NdSm2Te6 | the Alexandria database | PBE | optimized geometry; E_form (uncorrected) = -1.39 eV/atom
1.0
7.725 -0.007 0.000
-3.867 6.688 0.000
-1.287 -2.229 7.371
Nd Ce Te Sm
1 3 6 2
direct
0.000 0.000 0.000
0.835 0.165 0.500
0.165 0.835 0.500
0.500 0.500 0.500
0.581 0.917 0.752
0.083 0.419 0.248
0.419 0.083 0.248
0.917 0.581 0.752
0.254 0.254 0.753
0.746 0.746 0.247
0.333 0.667 0.000
0.667 0.333 0.000

(12)
LaCu2Hg | the Alexandria database | PBE | optimized geometry; ΔH_f (0 K) = -70 meV/atom
1.0
-0.706 2.835 -3.414
-3.483 0.945 1.505
2.255 3.900 2.772
Hg La Cu
1 1 2
direct
0.500 0.250 0.250
0.500 0.750 0.750
0.000 0.250 0.985
0.000 0.250 0.515